[1]
A geometry-optimized Li2AlCo structure. Source: Alexandria, functional PBE.

Computed properties:
SG: No. 123
Crystal system: tetragonal

Lattice parameters (Å, degrees): 2.5919 2.5919 8.4355 90.00 90.00 90.00
Closest atoms and distances in Å follow each position.
Fractional positions:
Al  0.5000  0.5000  0.2500  4 Al 2.59, 8 Li 2.89
Co  0.5000  0.5000  0.7500  4 Co 2.59, 8 Li 2.70
Li  0.0000  0.0000  0.9848  4 Li 2.59, 4 Co 2.70, 4 Al 2.89
Li  0.0000  0.0000  0.5152  4 Li 2.59, 4 Co 2.70, 4 Al 2.89

***

[2]
A geometry-optimized Li2AlCo structure. Source: Alexandria, functional PBE.

Computed properties:
SG: No. 166
Crystal system: trigonal

Lattice parameters (Å, degrees): 9.1716 9.1716 9.1716 16.61 16.61 16.61
Closest atoms and distances in Å follow each position.
Fractional positions:
Al  0.2500  0.2500  0.2500  6 Al 2.65, 6 Li 2.84
Co  0.7500  0.7500  0.7500  6 Li 2.62, 6 Co 2.65
Li  0.0051  0.0051  0.0051  3 Co 2.62, 6 Li 2.65, 3 Al 2.84
Li  0.4949  0.4949  0.4949  3 Co 2.62, 6 Li 2.65, 3 Al 2.84

***

[3]
A geometry-optimized Li2AlCo structure. Source: Alexandria, functional PBE.

Computed properties:
SG: No. 47
Crystal system: orthorhombic

Lattice parameters (Å, degrees): 2.5723 4.2935 4.9313 90.00 90.00 90.00
Closest atoms and distances in Å follow each position.
Fractional positions:
Al  0.5000  0.5000  0.2500  2 Co 2.47, 2 Al 2.57
Co  0.5000  0.5000  0.7500  2 Al 2.47, 2 Co 2.57
Li  0.0000  0.0000  0.9878  4 Li 2.35-2.59
Li  0.0000  0.0000  0.5122  4 Li 2.35-2.59

***

[4]
A geometry-optimized Li2AlCo structure. Source: Alexandria, functional PBE.

Computed properties:
SG: No. 99
Crystal system: tetragonal

Lattice parameters (Å, degrees): 2.9290 2.9290 6.5332 90.00 90.00 90.00
Closest atoms and distances in Å follow each position.
Fractional positions:
Al  0.0000  0.0000  0.5467  4 Co 2.40
Co  0.5000  0.5000  0.7313  4 Al 2.40, 4 Li 2.57
Li  0.0000  0.0000  0.9638  4 Co 2.57, 1 Al 2.73, 4 Li 2.83
Li  0.5000  0.5000  0.2582  4 Al 2.80, 8 Li 2.83-2.93, 1 Co 3.09

***

[5]
A geometry-optimized Li2AlCo structure. Source: Alexandria, functional PBE.

Computed properties:
SG: No. 71
Crystal system: orthorhombic

Lattice parameters (Å, degrees): 5.1910 5.1910 4.1173 66.58 66.58 30.92
Closest atoms and distances in Å follow each position.
Fractional positions:
Al  0.7500  0.7500  0.7500  4 Co 2.48, 2 Al 2.77, 4 Li 2.78
Co  0.2500  0.2500  0.2500  4 Al 2.48, 4 Li 2.56, 2 Co 2.77
Li  0.9859  0.9859  0.0140  6 Li 2.49-2.77, 2 Co 2.56, 2 Al 2.78
Li  0.5141  0.5141  0.4860  6 Li 2.49-2.77, 2 Co 2.56, 2 Al 2.78

***

[6]
A geometry-optimized Li2AlCo structure. Source: Alexandria, functional PBE.

Computed properties:
SG: No. 139
Crystal system: tetragonal

Lattice parameters (Å, degrees): 5.0193 5.0193 5.0193 139.44 139.44 58.70
Closest atoms and distances in Å follow each position.
Fractional positions:
Al  0.2500  0.7500  0.5000  4 Co 2.46
Co  0.7500  0.2500  0.5000  4 Al 2.46
Li  0.0000  0.0000  0.0000  4 Li 2.46
Li  0.5000  0.5000  0.0000  4 Li 2.46

***

[7]
A geometry-optimized LiAl2Co2 structure. Source: Alexandria, functional PBE.

Computed properties:
Relative energy among the computed polymorphs, meV/atom: 332
SG: No. 139
Crystal system: tetragonal

Lattice parameters (Å, degrees): 3.4674 3.4674 6.5737 74.71 74.71 90.00
Closest atoms and distances in Å follow each position.
Fractional positions:
Co  0.7500  0.2500  0.5000  4 Al 2.44, 4 Co 2.45
Co  0.2500  0.7500  0.5000  4 Al 2.44, 4 Co 2.45
Al  0.3909  0.3909  0.2181  4 Co 2.44, 1 Al 2.66
Al  0.6091  0.6091  0.7819  4 Co 2.44, 1 Al 2.66
Li  0.0000  0.0000  0.0000  8 Al 2.79

***

[8]
A geometry-optimized Li2AlCo structure. Source: Alexandria, functional PBE.

Computed properties:
SG: No. 25
Crystal system: orthorhombic

Lattice parameters (Å, degrees): 2.6686 3.6044 5.7545 90.00 90.00 90.00
Closest atoms and distances in Å follow each position.
Fractional positions:
Al  0.0000  0.0000  0.5438  4 Co 2.46, 1 Li 2.53, 2 Al 2.67
Co  0.5000  0.5000  0.7204  4 Al 2.46, 2 Co 2.67, 5 Li 2.69-2.70
Li  0.0000  0.0000  0.9829  1 Al 2.53, 6 Li 2.67-2.73, 4 Co 2.70
Li  0.5000  0.5000  0.2530  6 Li 2.67-2.73, 1 Co 2.69, 4 Al 2.80

***

[9]
A geometry-optimized LiAl2Co structure. Source: Alexandria, functional PBE.

Computed properties:
SG: No. 123
Crystal system: tetragonal

Lattice parameters (Å, degrees): 2.9348 2.9372 6.1525 90.00 90.00 90.00
Closest atoms and distances in Å follow each position.
Fractional positions:
Co  0.5000  0.5000  0.2500  8 Al 2.49
Al  0.0000  0.0000  0.0279  4 Co 2.49, 4 Li 2.69, 1 Al 2.73
Al  0.0000  0.0000  0.4721  4 Co 2.49, 4 Li 2.69, 1 Al 2.73
Li  0.5000  0.5000  0.7500  8 Al 2.69, 4 Li 2.93-2.94

***

[10]
A geometry-optimized LiAl2Co structure. Source: Alexandria, functional PBE.

Computed properties:
SG: No. 122
Crystal system: tetragonal

Lattice parameters (Å, degrees): 3.8015 3.8015 9.0610 77.89 77.89 90.00
Closest atoms and distances in Å follow each position.
Fractional positions:
Co  0.0000  0.0000  0.0000  4 Al 2.52, 4 Li 2.69
Co  0.7500  0.2500  0.5000  4 Al 2.52, 4 Li 2.69
Al  0.6416  0.1250  0.2500  2 Co 2.52, 2 Li 2.57, 4 Al 2.60-2.78
Al  0.1084  0.6250  0.2500  2 Co 2.52, 2 Li 2.57, 4 Al 2.60-2.78
Al  0.3750  0.3584  0.7500  2 Co 2.52, 2 Li 2.57, 4 Al 2.60-2.78
Al  0.8750  0.8916  0.7500  2 Co 2.52, 2 Li 2.57, 4 Al 2.60-2.78
Li  0.5000  0.5000  0.0000  4 Al 2.57, 4 Co 2.69
Li  0.2500  0.7500  0.5000  4 Al 2.57, 4 Co 2.69

***

[11]
A geometry-optimized LiAlCo structure. Source: Alexandria, functional PBE.

Computed properties:
SG: No. 156
Crystal system: trigonal

Lattice parameters (Å, degrees): 4.0698 4.0698 2.5513 90.00 90.00 120.00
Closest atoms and distances in Å follow each position.
Fractional positions:
Al  0.0000  0.0000  0.9810  3 Li 2.51, 2 Al 2.55, 6 Co 2.56-2.80
Co  0.3333  0.6667  0.3829  3 Li 2.44, 2 Co 2.55, 3 Al 2.56
Li  0.6667  0.3333  0.6361  3 Co 2.44, 3 Al 2.51, 2 Li 2.55

***

[12]
A geometry-optimized Li2AlCo structure. Source: Alexandria, functional PBE.

Computed properties:
SG: No. 10
Crystal system: monoclinic

Lattice parameters (Å, degrees): 2.7876 4.1098 6.1260 47.60 90.00 90.00
Closest atoms and distances in Å follow each position.
Fractional positions:
Al  0.5000  0.5000  0.5000  4 Co 2.48, 4 Li 2.66
Co  0.0000  0.0000  0.5000  4 Al 2.48, 4 Li 2.66
Li  0.0000  0.0000  0.0000  4 Li 2.48, 4 Al 2.66
Li  0.5000  0.5000  0.0000  4 Li 2.48, 4 Co 2.66

***

[13]
A geometry-optimized LiAl2Co structure. Source: Alexandria, functional PBE.

Computed properties:
SG: No. 123
Crystal system: tetragonal

Lattice parameters (Å, degrees): 4.1705 4.1705 2.8842 90.00 90.00 90.05
Closest atoms and distances in Å follow each position.
Fractional positions:
Co  0.5000  0.0000  0.5000  8 Al 2.54
Al  0.0000  0.0000  0.0000  4 Co 2.54, 4 Li 2.54
Al  0.5000  0.5000  0.0000  4 Li 2.54, 4 Co 2.54
Li  0.0000  0.5000  0.5000  8 Al 2.54

***

[14]
A geometry-optimized LiAl4Co structure. Source: Alexandria, functional PBE.

Computed properties:
SG: No. 216
Crystal system: cubic

Lattice parameters (Å, degrees): 5.1206 5.1206 5.1206 60.00 60.00 60.00
Closest atoms and distances in Å follow each position.
Fractional positions:
Li  0.0000  0.0000  0.0000  12 Al 3.00, 4 Co 3.14
Al  0.8739  0.3754  0.3754  6 Al 2.55-2.57
Al  0.3754  0.3754  0.8739  6 Al 2.55-2.57
Al  0.3754  0.8739  0.3754  6 Al 2.55-2.57
Al  0.3754  0.3754  0.3754  6 Al 2.55-2.57
Co  0.7500  0.7500  0.7500  12 Al 3.00, 4 Li 3.14

***

[15]
A geometry-optimized LiAlCo structure. Source: Alexandria, functional PBE.

Computed properties:
SG: No. 216
Crystal system: cubic

Lattice parameters (Å, degrees): 3.9967 3.9967 3.9967 60.00 60.00 60.00
Closest atoms and distances in Å follow each position.
Fractional positions:
Al  0.5000  0.5000  0.5000  4 Co 2.45
Co  0.7500  0.7500  0.7500  4 Li 2.45, 4 Al 2.45
Li  0.0000  0.0000  0.0000  4 Co 2.45

***

[16]
A geometry-optimized LiAl2Co2 structure. Source: Alexandria, functional PBE.

Computed properties:
Relative energy among the computed polymorphs, meV/atom: 350
SG: No. 139
Crystal system: tetragonal

Lattice parameters (Å, degrees): 3.9124 3.9124 5.6365 69.69 69.69 90.00
Closest atoms and distances in Å follow each position.
Fractional positions:
Co  0.3887  0.3887  0.2226  1 Co 2.19, 4 Al 2.38
Co  0.6113  0.6113  0.7774  1 Co 2.19, 4 Al 2.38
Al  0.7500  0.2500  0.5000  4 Co 2.38
Al  0.2500  0.7500  0.5000  4 Co 2.38
Li  0.0000  0.0000  0.0000  8 Co 2.97, 8 Al 3.14

***

[17]
A geometry-optimized LiAlCo structure. Source: Alexandria, functional PBE.

Computed properties:
SG: No. 63
Crystal system: orthorhombic

Lattice parameters (Å, degrees): 2.8154 4.0605 6.6774 90.00 102.17 90.00
Closest atoms and distances in Å follow each position.
Fractional positions:
Co  0.4188  0.2500  0.8377  6 Al 2.47-2.48, 2 Li 2.57
Co  0.5812  0.7500  0.1623  6 Al 2.47-2.48, 2 Li 2.57
Al  0.9251  0.7500  0.8502  6 Co 2.47-2.48, 2 Li 2.73
Al  0.0749  0.2500  0.1498  6 Co 2.47-2.48, 2 Li 2.73
Li  0.7543  0.2500  0.5086  4 Li 2.47, 2 Co 2.57, 2 Al 2.73
Li  0.2457  0.7500  0.4914  4 Li 2.47, 2 Co 2.57, 2 Al 2.73

***

[18]
A geometry-optimized Li2AlCo structure. Source: Alexandria, functional PBE.

Computed properties:
SG: No. 123
Crystal system: tetragonal

Lattice parameters (Å, degrees): 3.4775 3.4775 4.3645 90.00 90.00 90.00
Closest atoms and distances in Å follow each position.
Fractional positions:
Al  0.5000  0.0000  0.5000  4 Co 2.46
Co  0.0000  0.5000  0.5000  4 Al 2.46
Li  0.0000  0.0000  0.0000  4 Li 2.46
Li  0.5000  0.5000  0.0000  4 Li 2.46

***

[19]
A geometry-optimized LiAl2Co structure. Source: Alexandria, functional PBE.

Computed properties:
SG: No. 119
Crystal system: tetragonal

Lattice parameters (Å, degrees): 4.7615 4.7615 4.7615 135.97 135.97 64.03
Closest atoms and distances in Å follow each position.
Fractional positions:
Al  0.0000  0.0000  0.0000  4 Co 2.52, 4 Li 2.69, 4 Al 2.69
Al  0.2500  0.7500  0.5000  4 Li 2.52, 4 Co 2.69, 4 Al 2.69
Co  0.5000  0.5000  0.0000  8 Al 2.52-2.69, 4 Li 2.69
Li  0.7500  0.2500  0.5000  8 Al 2.52-2.69, 4 Co 2.69

***

[20]
A geometry-optimized Li2Al8Co3 structure. Source: Alexandria, functional PBE.

Computed properties:
SG: No. 10
Crystal system: monoclinic

Lattice parameters (Å, degrees): 4.1045 8.1170 7.1322 125.15 90.00 90.00
Closest atoms and distances in Å follow each position.
Fractional positions:
Li  0.5000  0.2337  0.4838  8 Al 2.49-2.64
Li  0.5000  0.7663  0.5162  8 Al 2.49-2.64
Al  0.0000  0.6157  0.2304  2 Co 2.46-2.50, 2 Li 2.64, 1 Al 2.69
Al  0.0000  0.3843  0.7696  2 Co 2.46-2.50, 2 Li 2.64, 1 Al 2.69
Al  0.0000  0.1201  0.2412  4 Co 2.42-2.49, 2 Li 2.49
Al  0.0000  0.8799  0.7588  4 Co 2.42-2.49, 2 Li 2.49
Al  0.5000  0.6205  0.7562  3 Co 2.48-2.52, 2 Li 2.57-2.58, 1 Al 2.69
Al  0.5000  0.1543  0.7819  3 Co 2.44-2.50, 2 Li 2.55-2.58, 1 Al 2.69
Al  0.5000  0.8457  0.2181  3 Co 2.44-2.50, 2 Li 2.55-2.58, 1 Al 2.69
Al  0.5000  0.3795  0.2438  3 Co 2.48-2.52, 2 Li 2.57-2.58, 1 Al 2.69
Co  0.5000  0.0000  0.0000  8 Al 2.49-2.52
Co  0.0000  0.2457  0.0052  8 Al 2.42-2.50
Co  0.0000  0.7543  0.9948  8 Al 2.42-2.50

***

| no. | energy (eV/atom) |
| --- | --- |
| 1 | -3.537 |
| 2 | -3.532 |
| 3 | -3.608 |
| 4 | -3.762 |
| 5 | -3.784 |
| 6 | -3.690 |
| 7 | -4.705 |
| 8 | -3.735 |
| 9 | -4.485 |
| 10 | -3.851 |
| 11 | -4.396 |
| 12 | -3.766 |
| 13 | -4.449 |
| 14 | -3.857 |
| 15 | -4.009 |
| 16 | -4.687 |
| 17 | -4.526 |
| 18 | -3.701 |
| 19 | -4.362 |
| 20 | -4.450 |